A geometry-optimized Re4NiP structure, computed with PBE. Values from VASP.

Structure (Quantum ESPRESSO input):
```
&SYSTEM
  ibrav = 0, nat = 6, ntyp = 3
/
ATOMIC_SPECIES
Re 186.21 Re.upf
Ni 58.69 Ni.upf
P 30.97 P.upf
CELL_PARAMETERS angstrom
0.000 3.644 3.644
3.644 0.000 3.644
3.644 3.644 0.000
ATOMIC_POSITIONS crystal
Re 0.376 0.376 0.376
Re 0.376 0.376 0.873
Re 0.376 0.873 0.376
Re 0.873 0.376 0.376
Ni 0.750 0.750 0.750
P 0.000 0.000 0.000
```

Results
**Raw total energy**: -9.2493 eV per atom